Entry 1:
VASP calculation (PBE) on a relaxed structure of MgSiOs2.

Summary:
Spin magnetization: 0.0 μB/cell
Fermi-level density of states: 0.870 states/eV/atom
Energy relative to the elements, uncorrected: 0.5 eV/f.u.
Total DFT energy (no corrections): -7.249 eV per atom
Calculated density: 12458 kg/m3

Geometry as CIF:
```
data_MgSiOs2
_symmetry_space_group_name_H-M 'P m m 2'
_symmetry_Int_Tables_number 25
_symmetry_space_group_name_Hall 'P 2 -2'
_cell_length_a 2.8168
_cell_length_b 3.8212
_cell_length_c 5.3601
_cell_angle_alpha 90.00
_cell_angle_beta 90.00
_cell_angle_gamma 90.00
loop_
_atom_site_label
_atom_site_type_symbol
_atom_site_fract_x
_atom_site_fract_y
_atom_site_fract_z
Mg1 Mg 0.0000 0.0000 0.0000
Si1 Si 0.5000 0.5000 0.7333
Os1 Os 0.0000 0.0000 0.5050
Os2 Os 0.5000 0.5000 0.2525
```

---

Entry 2:
VASP calculation (PBE) on a relaxed structure of In3Ag4Sn2.

Summary:
Spin magnetization: 0.0 μB/cell
Formation energy from the elements: 48 meV/atom
Fermi-level density of states: 0.393 states/eV/atom
Total DFT energy (no corrections): -3.021 eV per atom
Calculated density: 7837 kg/m3

Geometry as CIF:
```
data_In3Ag4Sn2
_symmetry_space_group_name_H-M 'C 1 2/m 1'
_symmetry_Int_Tables_number 12
_symmetry_space_group_name_Hall '-C 2y'
_cell_length_a 9.9855
_cell_length_b 4.5859
_cell_length_c 9.7665
_cell_angle_alpha 90.00
_cell_angle_beta 106.23
_cell_angle_gamma 90.00
loop_
_atom_site_label
_atom_site_type_symbol
_atom_site_fract_x
_atom_site_fract_y
_atom_site_fract_z
In1 In 0.0000 0.0000 0.0000
In2 In 0.1258 0.5000 0.4312
Ag1 Ag 0.1042 0.0000 0.6292
Ag2 Ag 0.1481 0.5000 0.1380
Sn1 Sn 0.1556 0.5000 0.8296
```

---

Entry 3:
VASP calculation (PBE) on a relaxed structure of CaSm5.

Summary:
Polymorph energy (0 for the lowest one): 0 meV per atom
Spin magnetization: 0.0 μB/cell
Formation energy from the elements: 37 meV/atom
Fermi-level density of states: 1.350 states/eV/atom
Total DFT energy (no corrections): -4.230 eV per atom
Calculated density: 6278 kg/m3

Geometry as CIF:
```
data_CaSm5
_symmetry_space_group_name_H-M 'P 4/m m m'
_symmetry_Int_Tables_number 123
_symmetry_space_group_name_Hall '-P 4 2'
_cell_length_a 3.6566
_cell_length_b 3.6566
_cell_length_c 15.6653
_cell_angle_alpha 90.00
_cell_angle_beta 90.00
_cell_angle_gamma 90.00
loop_
_atom_site_label
_atom_site_type_symbol
_atom_site_fract_x
_atom_site_fract_y
_atom_site_fract_z
Ca1 Ca 0.0000 0.0000 0.0000
Sm1 Sm 0.0000 0.0000 0.3356
Sm2 Sm 0.5000 0.5000 0.1788
Sm3 Sm 0.5000 0.5000 0.5000
```

---

Entry 4:
VASP calculation (PBE) on a relaxed structure of PmAl6Zn12.

Summary:
Spin magnetization: 0.0 μB/cell
Formation energy from the elements: 39 meV/atom
Fermi-level density of states: 0.274 states/eV/atom
Total DFT energy (no corrections): -2.198 eV per atom
Calculated density: 5354 kg/m3

Geometry as CIF:
```
data_PmAl6Zn12
_symmetry_space_group_name_H-M 'R -3 m'
_symmetry_Int_Tables_number 166
_symmetry_space_group_name_Hall '-R 3 2"'
_cell_length_a 11.2527
_cell_length_b 11.2527
_cell_length_c 9.2643
_cell_angle_alpha 90.00
_cell_angle_beta 90.00
_cell_angle_gamma 120.00
loop_
_atom_site_label
_atom_site_type_symbol
_atom_site_fract_x
_atom_site_fract_y
_atom_site_fract_z
Pm1 Pm 0.0000 0.0000 0.0000
Al1 Al 0.0607 0.5303 0.2278
Zn1 Zn 0.0000 0.3933 0.5000
Zn2 Zn 0.0809 0.1618 0.2891
```

---

Entry 5:
VASP calculation (PBE) on a relaxed structure of GaSbPI2.

Summary:
Polymorph energy (0 for the lowest one): 388 meV per atom
Spin magnetization: 1.4 μB/cell
Fermi-level density of states: 0.520 states/eV/atom
Energy relative to the elements, uncorrected: 3.8 eV/f.u.
Total DFT energy (no corrections): -2.370 eV per atom
Calculated density: 4537 kg/m3

Geometry as CIF:
```
data_GaSbPI2
_symmetry_space_group_name_H-M 'P 4/m m m'
_symmetry_Int_Tables_number 123
_symmetry_space_group_name_Hall '-P 4 2'
_cell_length_a 5.5692
_cell_length_b 5.5692
_cell_length_c 5.6200
_cell_angle_alpha 90.00
_cell_angle_beta 90.00
_cell_angle_gamma 90.00
loop_
_atom_site_label
_atom_site_type_symbol
_atom_site_fract_x
_atom_site_fract_y
_atom_site_fract_z
Ga1 Ga 0.0000 0.0000 0.0000
Sb1 Sb 0.0000 0.0000 0.5000
P1 P 0.5000 0.5000 0.5000
I1 I 0.0000 0.5000 0.0000
```

---

Entry 6:
VASP calculation (PBE) on a relaxed structure of Sr2UAs3Pt4.

Summary:
Spin magnetization: 2.7 μB/cell
Formation energy from the elements: -711 meV/atom
Fermi-level density of states: 0.992 states/eV/atom
Total DFT energy (no corrections): -5.988 eV per atom
Calculated density: 10844 kg/m3

Geometry as CIF:
```
data_Sr2UAs3Pt4
_symmetry_space_group_name_H-M 'P -4 m 2'
_symmetry_Int_Tables_number 115
_symmetry_space_group_name_Hall 'P -4 -2'
_cell_length_a 4.3431
_cell_length_b 4.3431
_cell_length_c 11.5141
_cell_angle_alpha 90.00
_cell_angle_beta 90.00
_cell_angle_gamma 90.00
loop_
_atom_site_label
_atom_site_type_symbol
_atom_site_fract_x
_atom_site_fract_y
_atom_site_fract_z
Sr1 Sr 0.0000 0.5000 0.2246
U1 U 0.0000 0.0000 0.5000
As1 As 0.0000 0.5000 0.8784
As2 As 0.5000 0.5000 0.5000
Pt1 Pt 0.0000 0.0000 0.0000
Pt2 Pt 0.0000 0.5000 0.6594
Pt3 Pt 0.5000 0.5000 0.0000
```

---

Repeat the sixth record exactly.
VASP calculation (PBE) on a relaxed structure of Sr2UAs3Pt4.

Summary:
Spin magnetization: 2.7 μB/cell
Formation energy from the elements: -711 meV/atom
Fermi-level density of states: 0.992 states/eV/atom
Total DFT energy (no corrections): -5.988 eV per atom
Calculated density: 10844 kg/m3

Geometry as CIF:
```
data_Sr2UAs3Pt4
_symmetry_space_group_name_H-M 'P -4 m 2'
_symmetry_Int_Tables_number 115
_symmetry_space_group_name_Hall 'P -4 -2'
_cell_length_a 4.3431
_cell_length_b 4.3431
_cell_length_c 11.5141
_cell_angle_alpha 90.00
_cell_angle_beta 90.00
_cell_angle_gamma 90.00
loop_
_atom_site_label
_atom_site_type_symbol
_atom_site_fract_x
_atom_site_fract_y
_atom_site_fract_z
Sr1 Sr 0.0000 0.5000 0.2246
U1 U 0.0000 0.0000 0.5000
As1 As 0.0000 0.5000 0.8784
As2 As 0.5000 0.5000 0.5000
Pt1 Pt 0.0000 0.0000 0.0000
Pt2 Pt 0.0000 0.5000 0.6594
Pt3 Pt 0.5000 0.5000 0.0000
```

---

Question: total DFT energy (no corrections) of number 5 (GaSbPI2)?
Answer: -2.370 eV per atom